Record 1
First-principles (GGA-PBE) data for an optimized crystal structure of Pm2NdDy2, as listed in Alexandria.

Its space group is Immm, No. 71.

a = 3.555 Å, b = 5.722 Å, c = 16.464 Å
α = 90.00°, β = 90.00°, γ = 90.00°
Sites, in units of the cell vectors:
1 Pm 0.000 0.000 0.213
2 Pm 0.000 0.000 0.787
3 Pm 0.500 0.500 0.287
4 Pm 0.500 0.500 0.713
5 Nd 0.000 0.500 0.500
6 Nd 0.500 0.000 0.000
7 Dy 0.000 0.500 0.099
8 Dy 0.000 0.500 0.901
9 Dy 0.500 0.000 0.401
10 Dy 0.500 0.000 0.599

=====

Record 2
First-principles (GGA-PBE) data for an optimized crystal structure of PmNd6Dy4, as listed in Alexandria.

Its space group is I-42m, No. 121.

a = 9.980 Å, b = 9.980 Å, c = 9.980 Å
α = 141.41°, β = 141.41°, γ = 55.72°
Sites, in units of the cell vectors:
1 Pm 0.000 0.000 0.000
2 Nd 0.000 0.500 0.500
3 Nd 0.186 0.543 0.000
4 Nd 0.457 0.457 0.642
5 Nd 0.500 0.000 0.500
6 Nd 0.543 0.186 0.000
7 Nd 0.814 0.814 0.358
8 Dy 0.010 0.010 0.371
9 Dy 0.361 0.990 0.000
10 Dy 0.639 0.639 0.629
11 Dy 0.990 0.361 0.000

=====

Record 3
First-principles (GGA-PBE) data for an optimized crystal structure of Pm12NdDy6, as listed in Alexandria.

Its space group is R-3m, No. 166.

a = 8.829 Å, b = 8.829 Å, c = 8.829 Å
α = 98.96°, β = 98.96°, γ = 98.96°
Sites, in units of the cell vectors:
1 Pm 0.000 0.259 0.741
2 Pm 0.000 0.741 0.259
3 Pm 0.145 0.145 0.417
4 Pm 0.145 0.417 0.145
5 Pm 0.259 0.000 0.741
6 Pm 0.259 0.741 0.000
7 Pm 0.417 0.145 0.145
8 Pm 0.583 0.855 0.855
9 Pm 0.741 0.000 0.259
10 Pm 0.741 0.259 0.000
11 Pm 0.855 0.583 0.855
12 Pm 0.855 0.855 0.583
13 Nd 0.500 0.500 0.500
14 Dy 0.161 0.598 0.598
15 Dy 0.402 0.402 0.839
16 Dy 0.402 0.839 0.402
17 Dy 0.598 0.161 0.598
18 Dy 0.598 0.598 0.161
19 Dy 0.839 0.402 0.402

=====

Record 4
First-principles (GGA-PBE) data for an optimized crystal structure of Pm4NdDy2, as listed in Alexandria.

Its space group is Fdd2, No. 43.

a = 12.588 Å, b = 6.833 Å, c = 13.570 Å
α = 67.03°, β = 29.99°, γ = 82.98°
Sites, in units of the cell vectors:
1 Pm 0.145 0.303 0.069
2 Pm 0.181 0.767 0.105
3 Pm 0.303 0.145 0.483
4 Pm 0.379 0.621 0.479
5 Pm 0.621 0.379 0.521
6 Pm 0.729 0.771 0.629
7 Pm 0.767 0.181 0.947
8 Pm 0.771 0.729 0.871
9 Nd 0.013 0.013 0.987
10 Nd 0.263 0.263 0.237
11 Dy 0.208 0.693 0.360
12 Dy 0.511 0.890 0.557
13 Dy 0.693 0.208 0.739
14 Dy 0.890 0.511 0.042

=====

Record 5
First-principles (GGA-PBE) data for an optimized crystal structure of Pm4NdDy3, as listed in Alexandria.

Its space group is Pmn2_1, No. 31.

a = 11.612 Å, b = 7.337 Å, c = 6.336 Å
α = 90.00°, β = 90.00°, γ = 90.00°
Sites, in units of the cell vectors:
1 Pm 0.000 0.127 0.000
2 Pm 0.000 0.873 0.495
3 Pm 0.247 0.874 0.831
4 Pm 0.253 0.126 0.331
5 Pm 0.500 0.127 0.995
6 Pm 0.500 0.873 0.500
7 Pm 0.747 0.126 0.331
8 Pm 0.753 0.874 0.831
9 Nd 0.000 0.375 0.497
10 Nd 0.500 0.625 0.997
11 Dy 0.000 0.623 0.997
12 Dy 0.250 0.377 0.830
13 Dy 0.250 0.623 0.330
14 Dy 0.500 0.377 0.497
15 Dy 0.750 0.377 0.830
16 Dy 0.750 0.623 0.330

=====

Record 6
First-principles (GGA-PBE) data for an optimized crystal structure of PmNd4Dy5, as listed in Alexandria.

Its space group is P-1, No. 2.

a = 3.555 Å, b = 8.826 Å, c = 11.283 Å
α = 89.85°, β = 89.98°, γ = 78.42°
Sites, in units of the cell vectors:
1 Pm 0.000 0.000 0.000
2 Nd 0.158 0.688 0.250
3 Nd 0.470 0.063 0.252
4 Nd 0.530 0.937 0.748
5 Nd 0.842 0.312 0.750
6 Dy 0.000 0.000 0.500
7 Dy 0.324 0.349 0.053
8 Dy 0.326 0.347 0.451
9 Dy 0.674 0.653 0.549
10 Dy 0.676 0.651 0.947

=====

Record 7
First-principles (GGA-PBE) data for an optimized crystal structure of Pm5NdDy4, as listed in Alexandria.

Its space group is C2/m, No. 12.

a = 9.286 Å, b = 9.286 Å, c = 10.542 Å
α = 96.04°, β = 96.04°, γ = 22.32°
Sites, in units of the cell vectors:
1 Pm 0.000 0.000 0.000
2 Pm 0.311 0.311 0.905
3 Pm 0.358 0.358 0.267
4 Pm 0.642 0.642 0.733
5 Pm 0.689 0.689 0.095
6 Nd 0.000 0.000 0.500
7 Dy 0.183 0.183 0.410
8 Dy 0.454 0.454 0.740
9 Dy 0.546 0.546 0.260
10 Dy 0.817 0.817 0.590

=====

Record 8
First-principles (GGA-PBE) data for an optimized crystal structure of Pm6Nd2Dy5, as listed in Alexandria.

Its space group is Pbam, No. 55.

a = 11.822 Å, b = 20.531 Å, c = 3.643 Å
α = 90.00°, β = 90.00°, γ = 90.00°
Sites, in units of the cell vectors:
1 Pm 0.060 0.077 0.000
2 Pm 0.080 0.365 0.000
3 Pm 0.177 0.628 0.500
4 Pm 0.323 0.128 0.500
5 Pm 0.420 0.865 0.000
6 Pm 0.440 0.577 0.000
7 Pm 0.560 0.423 0.000
8 Pm 0.580 0.135 0.000
9 Pm 0.677 0.872 0.500
10 Pm 0.823 0.372 0.500
11 Pm 0.920 0.635 0.000
12 Pm 0.940 0.923 0.000
13 Nd 0.168 0.785 0.000
14 Nd 0.332 0.285 0.000
15 Nd 0.668 0.715 0.000
16 Nd 0.832 0.215 0.000
17 Dy 0.000 0.500 0.500
18 Dy 0.092 0.223 0.500
19 Dy 0.199 0.945 0.500
20 Dy 0.301 0.445 0.500
21 Dy 0.408 0.723 0.500
22 Dy 0.500 0.000 0.500
23 Dy 0.592 0.277 0.500
24 Dy 0.699 0.555 0.500
25 Dy 0.801 0.055 0.500
26 Dy 0.908 0.777 0.500

=====

no.,formation energy from the elements (eV/atom)
1,0.05
2,0.29
3,0.20
4,0.06
5,0.03
6,0.19
7,0.16
8,0.10